Record 1
# TaIn2Co meta-GGA SCAN single point on PBEsol structure
data_TaIn2Co
_cell_length_a 4.072
_cell_length_b 4.072
_cell_length_c 4.100
_cell_angle_alpha 90.00
_cell_angle_beta 90.00
_cell_angle_gamma 90.00
_space_group_name_H-M_alt 'P 1'
_space_group_IT_number 1
_space_group_name_Hall 'P 1'
loop_
_atom_site_label
_atom_site_type_symbol
_atom_site_fract_x
_atom_site_fract_y
_atom_site_fract_z
_atom_site_occupancy
In1 In 0.000 0.500 0.000 1
In2 In 0.500 0.000 0.000 1
Co1 Co 0.000 0.000 0.500 1
Ta1 Ta 0.500 0.500 0.500 1
# - N(E_F) (states/eV/f.u.) = 2.52
# - DFT total energy (eV/atom) = -37.39
# - energy of formation from the pure elements (eV per atom) = 0.274

Record 2
# TaInCo3 meta-GGA SCAN single point on PBEsol structure
data_TaInCo3
_cell_length_a 4.428
_cell_length_b 4.428
_cell_length_c 4.428
_cell_angle_alpha 90.00
_cell_angle_beta 90.00
_cell_angle_gamma 90.00
_space_group_name_H-M_alt 'P 1'
_space_group_IT_number 1
_space_group_name_Hall 'P 1'
loop_
_atom_site_label
_atom_site_type_symbol
_atom_site_fract_x
_atom_site_fract_y
_atom_site_fract_z
_atom_site_occupancy
In1 In 0.000 0.000 0.000 1
Co1 Co 0.000 0.500 0.000 1
Co2 Co 0.000 0.000 0.500 1
Co3 Co 0.500 0.000 0.000 1
Ta1 Ta 0.500 0.500 0.500 1
# - N(E_F) (states/eV/f.u.) = 5.63
# - DFT total energy (eV/atom) = -28.59
# - energy of formation from the pure elements (eV per atom) = 1.790

Record 3
# TbIn5Co meta-GGA SCAN single point on PBEsol structure
data_TbIn5Co
_cell_length_a 4.493
_cell_length_b 4.493
_cell_length_c 7.379
_cell_angle_alpha 90.00
_cell_angle_beta 90.00
_cell_angle_gamma 90.00
_space_group_name_H-M_alt 'P 1'
_space_group_IT_number 1
_space_group_name_Hall 'P 1'
loop_
_atom_site_label
_atom_site_type_symbol
_atom_site_fract_x
_atom_site_fract_y
_atom_site_fract_z
_atom_site_occupancy
Co1 Co 0.000 0.000 0.500 1
Tb1 Tb 0.000 0.000 0.000 1
In1 In 0.500 0.500 0.000 1
In2 In 0.500 0.000 0.693 1
In3 In 0.000 0.500 0.307 1
In4 In 0.500 0.000 0.307 1
In5 In 0.000 0.500 0.693 1
# - N(E_F) (states/eV/f.u.) = 2.04
# - DFT total energy (eV/atom) = -33.31
# - energy of formation from the pure elements (eV per atom) = -0.308